# PrTcGe | the Alexandria database | PBE-GGA | optimized geometry
data_PrTcGe
_space_group_name_H-M_alt 'P -6 2 m'
_space_group_IT_number 189
_space_group_name_Hall 'P -6 -2'
_cell_length_a 7.2522
_cell_length_b 7.2522
_cell_length_c 4.2345
_cell_angle_alpha 90.00
_cell_angle_beta 90.00
_cell_angle_gamma 120.00
loop_
_atom_site_label
_atom_site_fract_x
_atom_site_fract_y
_atom_site_fract_z
_atom_site_occupancy
Pr1 0.0000 0.4100 0.0000 1
Tc1 0.0000 0.7798 0.5000 1
Ge1 0.0000 0.0000 0.0000 1
Ge2 0.3333 0.6667 0.5000 1
# Magnetic moment, μB/f.u.: 1.36
# N(E_F), states/eV per atom: 0.91
# Calculated volume, Å³ per cell: 192.88
# Energy of formation from the pure elements, eV/atom: -0.282